[1]
Sr2Mg2Cd7 after structural relaxation, computed with PBE-GGA.

Values from the calculation:
Its crystal system is monoclinic. For the energy of formation, the calculation gives -0.198 eV/atom.

Unit cell a=7.3893 b=7.3893 c=6.0606 alpha=110.88 beta=110.88 gamma=84.86
With the nearest neighbours (Å) after each atom.
Fractional positions:
Sr (0.2060, 0.7940, 0.0000)  6 Cd 3.27-3.48
Sr (0.7940, 0.2060, 0.0000)  6 Cd 3.27-3.48
Mg (0.3286, 0.3286, 0.5793)  6 Cd 2.93-3.18
Mg (0.6714, 0.6714, 0.4207)  6 Cd 2.93-3.18
Cd (0.0000, 0.0000, 0.5000)  4 Cd 2.89
Cd (0.0802, 0.5920, 0.3492)  4 Cd 2.89-3.19, 2 Mg 2.93-3.18
Cd (0.3168, 0.3168, 0.0590)  2 Mg 2.97-3.09, 4 Cd 3.05-3.29
Cd (0.4080, 0.9198, 0.6508)  4 Cd 2.89-3.19, 2 Mg 2.93-3.18
Cd (0.5920, 0.0802, 0.3492)  4 Cd 2.89-3.19, 2 Mg 2.93-3.18
Cd (0.6832, 0.6832, 0.9410)  2 Mg 2.97-3.09, 4 Cd 3.05-3.29
Cd (0.9198, 0.4080, 0.6508)  4 Cd 2.89-3.19, 2 Mg 2.93-3.18

***

[2]
Sn6AsAu3 after structural relaxation, computed with PBE-GGA.

Values from the calculation:
Its crystal system is monoclinic. For the energy of formation, the calculation gives -0.070 eV/atom.

Unit cell a=6.9427 b=6.8646 c=11.9831 alpha=90.00 beta=118.94 gamma=90.00
With the nearest neighbours (Å) after each atom.
Fractional positions:
Sn (0.0726, 0.1522, 0.4039)  3 Au 2.80-3.00, 1 As 2.81
Sn (0.0726, 0.3478, 0.9039)  3 Au 2.80-3.00, 1 As 2.81
Sn (0.2774, 0.6236, 0.3966)  3 Au 2.88-3.02, 1 As 2.96
Sn (0.2774, 0.8764, 0.8966)  3 Au 2.88-3.02, 1 As 2.96
Sn (0.4130, 0.5527, 0.7404)  3 Au 2.84-2.94, 1 As 2.89
Sn (0.4130, 0.9473, 0.2404)  3 Au 2.84-2.94, 1 As 2.89
Sn (0.5870, 0.0527, 0.7596)  3 Au 2.84-2.94, 1 As 2.89
Sn (0.5870, 0.4473, 0.2596)  3 Au 2.84-2.94, 1 As 2.89
Sn (0.7226, 0.1236, 0.1034)  3 Au 2.88-3.02, 1 As 2.96
Sn (0.7226, 0.3764, 0.6034)  3 Au 2.88-3.02, 1 As 2.96
Sn (0.9274, 0.6522, 0.0961)  3 Au 2.80-3.00, 1 As 2.81
Sn (0.9274, 0.8478, 0.5961)  3 Au 2.80-3.00, 1 As 2.81
As (0.5000, 0.0000, 0.5000)  6 Sn 2.81-2.96
As (0.5000, 0.5000, 0.0000)  6 Sn 2.81-2.96
Au (0.0000, 0.0000, 0.0000)  6 Sn 2.80-2.94, 2 Au 2.97
Au (0.0000, 0.5000, 0.5000)  6 Sn 2.80-2.94, 2 Au 2.97
Au (0.1634, 0.1943, 0.6998)  6 Sn 2.81-3.02, 1 Au 2.97
Au (0.1634, 0.3057, 0.1998)  6 Sn 2.81-3.02, 1 Au 2.97
Au (0.8366, 0.6943, 0.8002)  6 Sn 2.81-3.02, 1 Au 2.97
Au (0.8366, 0.8057, 0.3002)  6 Sn 2.81-3.02, 1 Au 2.97

***

[3]
NpBi2PbO6 after structural relaxation, computed with PBE-GGA.

Values from the calculation:
The uncorrected formation energy comes out at -1.65 eV per atom. Its crystal system is triclinic.

Unit cell a=6.0236 b=6.1225 c=6.3204 alpha=61.86 beta=62.95 gamma=62.95
With the nearest neighbours (Å) after each atom.
Fractional positions:
Np (0.0000, 0.0000, 0.0000)  6 O 2.19-2.33
Bi (0.3041, 0.2895, 0.1054)  4 O 2.27-2.46
Bi (0.8239, 0.7713, 0.6310)  4 O 2.25-2.48
Pb (0.5356, 0.5000, 0.4518)  6 O 2.49-2.78
O (0.1119, 0.7022, 0.8111)  2 Bi 2.27-2.46, 1 Np 2.33
O (0.1459, 0.6404, 0.3110)  1 Bi 2.25, 1 Np 2.28
O (0.3575, 0.1173, 0.8310)  1 Np 2.21, 1 Bi 2.27
O (0.6316, 0.9198, 0.2601)  1 Np 2.19, 1 Bi 2.36
O (0.7397, 0.3725, 0.8080)  1 Np 2.24, 1 Bi 2.35
O (0.9329, 0.1646, 0.2893)  1 Np 2.28, 2 Bi 2.30-2.48, 1 Pb 2.51

***

[4]
SmTiGa4 after structural relaxation, computed with PBE-GGA.

Values from the calculation:
Its crystal system is orthorhombic. For the energy of formation, the calculation gives -0.467 eV/atom. The excess energy over the best structure of this formula in the dataset is 0.000 eV per atom.

Unit cell a=9.0586 b=9.0586 c=6.3210 alpha=90.00 beta=90.00 gamma=153.62
With the nearest neighbours (Å) after each atom.
Fractional positions:
Sm (0.0969, 0.9031, 0.7500)  11 Ga 3.02-3.18
Sm (0.9031, 0.0969, 0.2500)  11 Ga 3.02-3.18
Ti (0.2311, 0.7689, 0.2500)  7 Ga 2.62-2.72
Ti (0.7689, 0.2311, 0.7500)  7 Ga 2.62-2.72
Ga (0.0779, 0.9221, 0.2500)  1 Ti 2.70, 8 Ga 2.87-2.94
Ga (0.3363, 0.6637, 0.5437)  4 Ga 2.61-2.90, 3 Ti 2.62-2.72
Ga (0.3363, 0.6637, 0.9563)  4 Ga 2.61-2.90, 3 Ti 2.62-2.72
Ga (0.5000, 0.5000, 0.0000)  8 Ga 2.90-3.16, 4 Sm 3.11
Ga (0.5000, 0.5000, 0.5000)  8 Ga 2.90-3.16, 4 Sm 3.11
Ga (0.6637, 0.3363, 0.0437)  4 Ga 2.61-2.90, 3 Ti 2.62-2.72
Ga (0.6637, 0.3363, 0.4563)  4 Ga 2.61-2.90, 3 Ti 2.62-2.72
Ga (0.9221, 0.0779, 0.7500)  1 Ti 2.70, 8 Ga 2.87-2.94

***

[5]
LiPmTl after structural relaxation, computed with PBE-GGA.

Values from the calculation:
Its crystal system is cubic. For the energy of formation, the calculation gives -0.082 eV/atom. The excess energy over the best structure of this formula in the dataset is 0.204 eV per atom.

Unit cell a=4.7979 b=4.7979 c=4.7979 alpha=60.00 beta=60.00 gamma=60.00
With the nearest neighbours (Å) after each atom.
Fractional positions:
Li (0.0000, 0.0000, 0.0000)  4 Pm 2.94, 4 Tl 2.94
Pm (0.2500, 0.2500, 0.2500)  4 Li 2.94
Tl (0.7500, 0.7500, 0.7500)  4 Li 2.94

***

[6]
CrP2 after structural relaxation, computed with PBE-GGA.

Values from the calculation:
Its crystal system is orthorhombic. For the energy of formation, the calculation gives -0.202 eV/atom.

Unit cell a=5.9654 b=5.9654 c=4.3937 alpha=90.00 beta=90.00 gamma=149.91
With the nearest neighbours (Å) after each atom.
Fractional positions:
Cr (0.1986, 0.8014, 0.7500)  6 P 2.27-2.40
Cr (0.8014, 0.1986, 0.2500)  6 P 2.27-2.40
P (0.1479, 0.8521, 0.2500)  4 Cr 2.27-2.35
P (0.4605, 0.5395, 0.2500)  4 P 2.38-2.66, 2 Cr 2.40
P (0.5395, 0.4605, 0.7500)  4 P 2.38-2.66, 2 Cr 2.40
P (0.8521, 0.1479, 0.7500)  4 Cr 2.27-2.35

***

[7]
FeAs2Ir after structural relaxation, computed with PBE-GGA.

Values from the calculation:
Its crystal system is orthorhombic. For the energy of formation, the calculation gives 0.297 eV/atom. The excess energy over the best structure of this formula in the dataset is 0.292 eV per atom.

Unit cell a=2.8540 b=4.0246 c=5.5419 alpha=90.00 beta=90.00 gamma=90.00
With the nearest neighbours (Å) after each atom.
Fractional positions:
Fe (0.0000, 0.0000, 0.0000)  8 As 2.79, 2 Fe 2.85, 4 Ir 3.12
As (0.5000, 0.5000, 0.2353)  2 Ir 2.49, 1 As 2.61
As (0.5000, 0.5000, 0.7647)  2 Ir 2.49, 1 As 2.61
Ir (0.5000, 0.0000, 0.5000)  4 As 2.49

***

[8]
Nb2CrPd2 after structural relaxation, computed with PBE-GGA.

Values from the calculation:
Its crystal system is tetragonal. For the energy of formation, the calculation gives 0.239 eV/atom.

Unit cell a=7.7817 b=7.7817 c=2.7736 alpha=90.00 beta=90.00 gamma=90.00
With the nearest neighbours (Å) after each atom.
Fractional positions:
Nb (0.1767, 0.3233, 0.0000)  6 Pd 2.61-2.74, 2 Nb 2.77
Nb (0.3233, 0.8233, 0.0000)  6 Pd 2.61-2.74, 2 Nb 2.77
Nb (0.6767, 0.1767, 0.0000)  6 Pd 2.61-2.74, 2 Nb 2.77
Nb (0.8233, 0.6767, 0.0000)  6 Pd 2.61-2.74, 2 Nb 2.77
Cr (0.0000, 0.0000, 0.5000)  2 Cr 2.77, 4 Pd 3.09
Cr (0.5000, 0.5000, 0.5000)  2 Cr 2.77, 4 Pd 3.09
Pd (0.1221, 0.6221, 0.5000)  6 Nb 2.61-2.74, 3 Pd 2.69-2.77
Pd (0.3779, 0.1221, 0.5000)  6 Nb 2.61-2.74, 3 Pd 2.69-2.77
Pd (0.6221, 0.8779, 0.5000)  6 Nb 2.61-2.74, 3 Pd 2.69-2.77
Pd (0.8779, 0.3779, 0.5000)  6 Nb 2.61-2.74, 3 Pd 2.69-2.77

***

[9]
Er5Ir2Au after structural relaxation, computed with PBE-GGA.

Values from the calculation:
Its crystal system is tetragonal. For the energy of formation, the calculation gives -0.815 eV/atom.

Unit cell a=8.5360 b=8.5360 c=8.5360 alpha=127.21 beta=127.21 gamma=77.91
With the nearest neighbours (Å) after each atom.
Fractional positions:
Er (0.0000, 0.0000, 0.0000)  4 Ir 2.94
Er (0.0243, 0.5243, 0.8241)  3 Ir 2.81-2.93
Er (0.2001, 0.0243, 0.5000)  3 Ir 2.81-2.93
Er (0.2999, 0.7999, 0.8241)  3 Ir 2.81-2.93
Er (0.4757, 0.2999, 0.5000)  3 Ir 2.81-2.93
Er (0.5000, 0.5000, 0.0000)  4 Ir 2.94
Er (0.5243, 0.7001, 0.5000)  3 Ir 2.81-2.93
Er (0.7001, 0.2001, 0.1759)  3 Ir 2.81-2.93
Er (0.7999, 0.9757, 0.5000)  3 Ir 2.81-2.93
Er (0.9757, 0.4757, 0.1759)  3 Ir 2.81-2.93
Ir (0.1387, 0.3613, 0.5000)  8 Er 2.81-2.94, 1 Ir 2.98
Ir (0.3613, 0.8613, 0.2225)  8 Er 2.81-2.94, 1 Ir 2.98
Ir (0.6387, 0.1387, 0.7775)  8 Er 2.81-2.94, 1 Ir 2.98
Ir (0.8613, 0.6387, 0.5000)  8 Er 2.81-2.94, 1 Ir 2.98
Au (0.2500, 0.2500, 0.0000)  10 Er 3.21-3.32
Au (0.7500, 0.7500, 0.0000)  10 Er 3.21-3.32

***

[10]
LiLaPmCo after structural relaxation, computed with PBE-GGA.

Values from the calculation:
Its crystal system is cubic. For the energy of formation, the calculation gives 0.045 eV/atom.

Unit cell a=5.0571 b=5.0571 c=5.0571 alpha=60.00 beta=60.00 gamma=60.00
With the nearest neighbours (Å) after each atom.
Fractional positions:
Li (0.0000, 0.0000, 0.0000)  4 La 3.10, 4 Pm 3.10
La (0.2500, 0.2500, 0.2500)  4 Co 3.10, 4 Li 3.10
Pm (0.7500, 0.7500, 0.7500)  4 Co 3.10, 4 Li 3.10
Co (0.5000, 0.5000, 0.5000)  4 La 3.10, 4 Pm 3.10

***

[11]
SrMn2CoPt after structural relaxation, computed with PBE-GGA.

Values from the calculation:
Its crystal system is tetragonal. For the energy of formation, the calculation gives 2.191 eV/atom.

Unit cell a=4.9935 b=4.9935 c=5.0994 alpha=90.00 beta=90.00 gamma=90.00
With the nearest neighbours (Å) after each atom.
Fractional positions:
Sr (0.0000, 0.0000, 0.0000)  4 Mn 2.50, 2 Pt 2.55
Mn (0.0000, 0.5000, 0.0000)  2 Sr 2.50
Mn (0.5000, 0.0000, 0.0000)  2 Sr 2.50
Co (0.5000, 0.5000, 0.5000)  4 Pt 3.53, 8 Mn 3.57
Pt (0.0000, 0.0000, 0.5000)  2 Sr 2.55

***

[12]
Sr2ZrCdS5 after structural relaxation, computed with PBE-GGA.

Values from the calculation:
The uncorrected formation energy comes out at -1.57 eV per atom. Its crystal system is orthorhombic.

Unit cell a=8.8417 b=8.8417 c=12.9152 alpha=90.00 beta=90.00 gamma=154.04
With the nearest neighbours (Å) after each atom.
Fractional positions:
Sr (0.0957, 0.9043, 0.5000)  6 S 2.96-3.15
Sr (0.1311, 0.8689, 0.1363)  8 S 2.99-3.23
Sr (0.8689, 0.1311, 0.6363)  8 S 2.99-3.23
Sr (0.9043, 0.0957, 0.0000)  6 S 2.96-3.15
Zr (0.2211, 0.7789, 0.8545)  6 S 2.51-2.67
Zr (0.7789, 0.2211, 0.3545)  6 S 2.51-2.67
Cd (0.4519, 0.5481, 0.2835)  3 S 2.45-2.52
Cd (0.5481, 0.4519, 0.7835)  3 S 2.45-2.52
S (0.0710, 0.9290, 0.8993)  2 Cd 2.52, 1 Zr 2.65
S (0.2714, 0.7286, 0.4927)  2 Zr 2.67
S (0.2954, 0.7046, 0.2241)  2 Zr 2.62, 1 Cd 2.80
S (0.3657, 0.6343, 0.8311)  1 Zr 2.51
S (0.4969, 0.5031, 0.6064)  1 Cd 2.45
S (0.5031, 0.4969, 0.1064)  1 Cd 2.45
S (0.6343, 0.3657, 0.3311)  1 Zr 2.51
S (0.7046, 0.2954, 0.7241)  2 Zr 2.62, 1 Cd 2.80
S (0.7286, 0.2714, 0.9927)  2 Zr 2.67
S (0.9290, 0.0710, 0.3993)  2 Cd 2.52, 1 Zr 2.65

***

What did the ninth record say?
Er5Ir2Au after structural relaxation, computed with PBE-GGA.

Values from the calculation:
Its crystal system is tetragonal. For the energy of formation, the calculation gives -0.815 eV/atom.

Unit cell a=8.5360 b=8.5360 c=8.5360 alpha=127.21 beta=127.21 gamma=77.91
With the nearest neighbours (Å) after each atom.
Fractional positions:
Er (0.0000, 0.0000, 0.0000)  4 Ir 2.94
Er (0.0243, 0.5243, 0.8241)  3 Ir 2.81-2.93
Er (0.2001, 0.0243, 0.5000)  3 Ir 2.81-2.93
Er (0.2999, 0.7999, 0.8241)  3 Ir 2.81-2.93
Er (0.4757, 0.2999, 0.5000)  3 Ir 2.81-2.93
Er (0.5000, 0.5000, 0.0000)  4 Ir 2.94
Er (0.5243, 0.7001, 0.5000)  3 Ir 2.81-2.93
Er (0.7001, 0.2001, 0.1759)  3 Ir 2.81-2.93
Er (0.7999, 0.9757, 0.5000)  3 Ir 2.81-2.93
Er (0.9757, 0.4757, 0.1759)  3 Ir 2.81-2.93
Ir (0.1387, 0.3613, 0.5000)  8 Er 2.81-2.94, 1 Ir 2.98
Ir (0.3613, 0.8613, 0.2225)  8 Er 2.81-2.94, 1 Ir 2.98
Ir (0.6387, 0.1387, 0.7775)  8 Er 2.81-2.94, 1 Ir 2.98
Ir (0.8613, 0.6387, 0.5000)  8 Er 2.81-2.94, 1 Ir 2.98
Au (0.2500, 0.2500, 0.0000)  10 Er 3.21-3.32
Au (0.7500, 0.7500, 0.0000)  10 Er 3.21-3.32